Below is crystalline LaIrBr at its relaxed geometry, with properties calculated at the PBE level.

Cell lengths 4.6186, 4.6186, 3.6897 Å; angles 90.00, 90.00, 120.00 degrees
Atoms (fractional coordinates):
La (0.3333, 0.6667, 0.6666)
Br (0.0000, 0.0000, 0.1666)
Ir (0.6667, 0.3333, 0.1668)

Summary:
ΔE_f (raw) = -0.45 eV per atom
polymorph energy (0 for the lowest one) = 882 meV per atom
crystal system = hexagonal